Density functional theory data (PBE-GGA) for a relaxed Dy3TcB7 crystal.

Geometry as CIF:
```
data_Dy3TcB7
_chemical_formula_sum 'Dy12 Tc4 B28'
_cell_length_a 3.543
_cell_length_b 15.803
_cell_length_c 9.349
_cell_angle_alpha 90.00
_cell_angle_beta 90.00
_cell_angle_gamma 90.00
_space_group_name_H-M_alt 'C m c m'
_space_group_IT_number 63
_space_group_name_Hall '-C 2c 2'
loop_
_atom_site_label
_atom_site_fract_x
_atom_site_fract_y
_atom_site_fract_z
Dy1 0.000 0.105 0.060
Dy2 0.000 0.241 0.750
Tc1 0.000 0.053 0.750
B1 0.000 0.273 0.033
B2 0.000 0.368 0.151
B3 0.000 0.458 0.750
B4 0.000 0.479 0.096
```

## Properties
V, Å³ per atom: 11.90
Calculated formation energy, eV/atom: -0.629
Density, g cm⁻³: 8.39
Spin magnetization, μB per formula unit: 0.0